AlGe3Te | GGA-PBEsol | optimized geometry

Summary:
- N(E_F): 3.61 states/eV/f.u.
- Formation energy without anion corrections: 1106 meV per atom
- Space group: Pm-3m, No. 221
- DFT total energy: -3.3813 eV/atom

Cell lengths 5.3410, 5.3410, 5.3410 Å; angles 90.00, 90.00, 90.00 degrees
Element x y z (fractional)
Ge 0.5000 0.0000 0.0000
Ge 0.0000 0.0000 0.5000
Ge 0.0000 0.5000 0.0000
Al 0.5000 0.5000 0.5000
Te 0.0000 0.0000 0.0000

LuAl6Cr6 | GGA-PBEsol | optimized geometry

Summary:
- N(E_F): 9.52 states/eV/f.u.
- Space group: Immm, No. 71
- DFT total energy: -7.0914 eV/atom

Cell lengths 4.9804, 6.5829, 6.5829 Å; angles 81.04, 67.77, 67.77 degrees
Element x y z (fractional)
Al 0.0000 0.3447 0.6553
Al 0.0000 0.6553 0.3447
Al 0.5000 0.1879 0.8121
Al 0.3303 0.6697 0.6697
Al 0.5000 0.8121 0.1879
Al 0.6697 0.3303 0.3303
Cr 0.2586 0.2414 0.2414
Cr 0.5000 0.0000 0.5000
Cr 0.0000 0.0000 0.5000
Cr 0.0000 0.5000 0.0000
Cr 0.5000 0.5000 0.0000
Cr 0.7414 0.7586 0.7586
Lu 0.0000 0.0000 0.0000

SiSeBr | GGA-PBEsol | optimized geometry

Summary:
- N(E_F): 2.17 states/eV/f.u.
- Formation energy without anion corrections: 243 meV per atom
- Space group: F-43m, No. 216
- DFT total energy: -3.5794 eV/atom

Cell lengths 4.5902, 4.5902, 4.5902 Å; angles 60.00, 60.00, 60.00 degrees
Element x y z (fractional)
Si 0.2500 0.2500 0.2500
Se 0.5000 0.5000 0.5000
Br 0.0000 0.0000 0.0000

BeMoSe | GGA-PBEsol | optimized geometry

Summary:
- N(E_F): 1.59 states/eV/f.u.
- Formation energy without anion corrections: 454 meV per atom
- E above lowest polymorph: 0 kJ/mol of formula units
- Space group: P3m1, No. 156
- DFT total energy: -6.0857 eV/atom

Cell lengths 2.6105, 4.3530, 4.3530 Å; angles 120.00, 90.00, 90.00 degrees
Element x y z (fractional)
Mo 0.5125 0.3333 0.6667
Be 0.1160 0.0000 0.0000
Se 0.3715 0.6667 0.3333